Here is crystalline LiErAu at its relaxed geometry from the Alexandria database. Energies are from PBE.

## Properties
energy of formation = -624 meV/atom
Fermi-level density of states = 8.13 states/eV per cell
E above lowest polymorph = 4 meV per atom
uncorrected energy = -46.5 eV/cell

Cell lengths 4.071, 7.191, 8.632 Å; angles 90.00, 90.00, 90.00 degrees
Fractional coordinates of all 12 atoms:
Li: 0.750 0.622 0.943
Li: 0.250 0.378 0.057
Li: 0.250 0.878 0.443
Li: 0.750 0.122 0.557
Au: 0.750 0.744 0.626
Au: 0.250 0.756 0.126
Au: 0.250 0.256 0.374
Au: 0.750 0.244 0.874
Er: 0.250 0.947 0.821
Er: 0.250 0.447 0.679
Er: 0.750 0.053 0.179
Er: 0.750 0.553 0.321